A plane-wave DFT calculation with PBE was carried out for a relaxed Sr2UO5 crystal.

Structure (POSCAR):
```
Sr2UO5
1.0
-5.367 1.908 -0.546
-0.850 -4.354 -6.857
-4.169 -10.897 2.900
Sr O U
8 20 4
Cartesian
-7.161 -3.512 -1.836
-6.564 -9.914 -0.113
-3.821 -3.430 -4.390
-7.984 -6.319 0.393
-6.460 -11.771 -3.648
-3.225 -9.831 -2.667
-2.401 -7.024 -4.897
-3.925 -1.573 -0.856
-6.567 -5.741 -3.351
-6.744 -7.903 -1.498
-5.652 -2.758 0.552
-5.617 -13.857 -2.326
-4.734 -10.586 -5.055
-5.802 -5.309 -0.620
-7.245 -9.507 -4.645
-3.642 -5.441 -3.006
-4.867 -11.195 -1.468
-2.248 -1.972 -2.655
-4.769 0.513 -2.177
-2.719 -5.113 -6.512
-7.666 -8.231 2.009
-4.808 -9.434 1.634
-3.819 -7.603 -1.153
-5.577 -3.910 -6.137
-4.584 -8.035 -3.883
-3.141 -3.837 0.142
-5.519 -2.149 -3.035
-8.138 -11.372 -1.849
-4.768 -4.495 1.177
0.000 0.000 0.000
-5.193 -6.672 -2.252
-0.425 -2.177 -3.428
```

volume: 533 Å³ per cell
calculated total energy: -259.5 eV per cell
size of the total moment: 0.00 μB per formula unit
space-group type: P2_1/c (14)
energy relative to the lowest polymorph listed for this composition: 0.000 eV/atom